Entry 1:
Density functional theory data (PBE-GGA) for a relaxed structure of Te2SeCl.

## Properties
Relative energy among the computed polymorphs ... 0.3230 eV/atom
Space-group type ... No. 123
ρ ... 5.69 Mg/m³
Energy relative to the elements, uncorrected ... 175 meV per atom

Unit cell a=3.860 b=3.860 c=7.235 alpha=90.00 beta=90.00 gamma=90.00
Element x y z (fractional)
Cl 0.500 0.500 0.250
Se 0.500 0.500 0.750
Te 0.000 0.000 0.943
Te 0.000 0.000 0.557

---

Entry 2:
Density functional theory data (PBE-GGA) for a relaxed structure of RbSrTiGa2.

## Properties
Space-group type ... No. 123
E_form ... 1.165 eV per atom
ρ ... 3.32 Mg/m³

Unit cell a=5.755 b=5.447 c=5.755 alpha=90.00 beta=90.00 gamma=90.00
Last column: magnetic moment on the atom in μB.
Element x y z (fractional)
Sr 0.500 0.500 0.500  0.00
Ga 0.000 0.000 0.500  -0.04
Ga 0.500 0.000 0.000  -0.05
Rb 0.000 0.000 0.000  0.07
Ti 0.000 0.500 0.000  1.90

---

Entry 3:
Density functional theory data (PBE-GGA) for a relaxed structure of ReAs2CBr.

## Properties
Relative energy among the computed polymorphs ... 0.0000 eV/atom
Space-group type ... No. 123
ρ ... 9.06 Mg/m³
Energy relative to the elements, uncorrected ... 1697 meV per atom

Unit cell a=4.208 b=4.208 c=4.431 alpha=90.00 beta=90.00 gamma=90.00
Last column: magnetic moment on the atom in μB.
Element x y z (fractional)
Re 0.500 0.500 0.500  0.58
As 0.000 0.500 0.000  -0.02
As 0.500 0.000 0.000  -0.02
C 0.000 0.000 0.000  -0.01
Br 0.000 0.000 0.500  -0.02

---

Entry 4:
Density functional theory data (PBE-GGA) for a relaxed structure of MgCdW2.

## Properties
Relative energy among the computed polymorphs ... 0.2173 eV/atom
Space-group type ... No. 10
E_form ... 0.505 eV per atom
ρ ... 12.00 Mg/m³

Unit cell a=4.764 b=2.751 c=5.516 alpha=74.87 beta=90.00 gamma=90.00
Element x y z (fractional)
Cd 0.500 0.250 0.250
Mg 0.500 0.750 0.750
W 0.000 0.021 0.989
W 0.000 0.479 0.511

---

Entry 5:
Density functional theory data (PBE-GGA) for a relaxed structure of Ag2PdPbBr8.

## Properties
Space-group type ... No. 10
ρ ... 5.00 Mg/m³
Energy relative to the elements, uncorrected ... -396 meV per atom

Unit cell a=7.083 b=6.753 c=8.154 alpha=89.99 beta=90.01 gamma=95.87
Element x y z (fractional)
Ag 0.500 0.500 0.761
Ag 0.500 0.500 0.239
Pd 0.000 0.000 0.000
Pb 0.000 0.000 0.500
Br 0.154 0.795 0.209
Br 0.678 0.715 0.000
Br 0.846 0.205 0.209
Br 0.846 0.205 0.791
Br 0.322 0.285 0.000
Br 0.154 0.795 0.791
Br 0.641 0.718 0.500
Br 0.359 0.282 0.500

---

Entry 6:
Density functional theory data (PBE-GGA) for a relaxed structure of Zn2CdPt.

## Properties
Space-group type ... No. 160
E_form ... -0.097 eV per atom
ρ ... 10.82 Mg/m³

Unit cell a=9.261 b=9.261 c=9.261 alpha=18.14 beta=18.14 gamma=18.14
Element x y z (fractional)
Cd 0.498 0.498 0.498
Pt 0.743 0.743 0.743
Zn 0.002 0.002 0.002
Zn 0.257 0.257 0.257

---

Entry 7:
Density functional theory data (PBE-GGA) for a relaxed structure of Pm4Sm9Cd11.

## Properties
Space-group type ... No. 65
E_form ... -0.246 eV per atom
ρ ... 7.79 Mg/m³

Unit cell a=14.109 b=14.109 c=3.625 alpha=90.00 beta=90.00 gamma=110.51
Last column: magnetic moment on the atom in μB.
Element x y z (fractional)
Pm 0.749 0.578 0.500  0.04
Pm 0.251 0.422 0.500  0.04
Pm 0.578 0.749 0.500  0.04
Pm 0.422 0.251 0.500  0.04
Sm 0.153 0.617 0.500  -0.02
Sm 0.847 0.383 0.500  -0.02
Sm 0.617 0.153 0.500  -0.02
Sm 0.383 0.847 0.500  -0.02
Sm 0.979 0.793 0.500  0.01
Sm 0.021 0.207 0.500  0.01
Sm 0.793 0.979 0.500  0.01
Sm 0.207 0.021 0.500  0.01
Sm 0.500 0.500 0.500  0.11
Cd 0.951 0.589 0.000  0.00
Cd 0.049 0.411 0.000  0.00
Cd 0.589 0.951 0.000  0.00
Cd 0.411 0.049 0.000  0.00
Cd 0.369 0.631 0.000  0.00
Cd 0.631 0.369 0.000  0.00
Cd 0.180 0.820 0.000  0.00
Cd 0.820 0.180 0.000  0.00
Cd 0.000 0.000 0.000  0.00
Cd 0.783 0.783 0.000  0.00
Cd 0.217 0.217 0.000  0.00

---

Entry 8:
Density functional theory data (PBE-GGA) for a relaxed structure of MgMoRh.

## Properties
Relative energy among the computed polymorphs ... 0.3100 eV/atom
Space-group type ... No. 216
E_form ... 0.221 eV per atom
ρ ... 6.80 Mg/m³

Unit cell a=4.254 b=4.254 c=4.254 alpha=60.00 beta=60.00 gamma=60.00
Element x y z (fractional)
Mg 0.000 0.000 0.000
Mo 0.500 0.500 0.500
Rh 0.250 0.250 0.250

---

Entry 9:
Density functional theory data (PBE-GGA) for a relaxed structure of Er5GeSb2.

## Properties
Space-group type ... No. 63
ρ ... 7.60 Mg/m³
Energy relative to the elements, uncorrected ... -471 meV per atom

Unit cell a=5.929 b=6.824 c=13.824 alpha=90.00 beta=90.00 gamma=115.75
Element x y z (fractional)
Er 0.939 0.879 0.883
Er 0.939 0.879 0.617
Er 0.369 0.739 0.420
Er 0.369 0.739 0.080
Er 0.681 0.361 0.250
Er 0.319 0.639 0.750
Er 0.631 0.261 0.580
Er 0.631 0.261 0.920
Er 0.061 0.121 0.117
Er 0.061 0.121 0.383
Ge 0.769 0.538 0.750
Ge 0.231 0.462 0.250
Sb 0.820 0.640 0.428
Sb 0.820 0.640 0.072
Sb 0.180 0.360 0.572
Sb 0.180 0.360 0.928

---

Entry 10:
Density functional theory data (PBE-GGA) for a relaxed structure of Rb2NiPdCl6.

## Properties
Space-group type ... No. 139
ρ ... 3.96 Mg/m³
Energy relative to the elements, uncorrected ... -1043 meV per atom

Unit cell a=7.118 b=7.118 c=6.783 alpha=58.35 beta=58.35 gamma=90.00
Last column: magnetic moment on the atom in μB.
Element x y z (fractional)
Ni 0.500 0.500 0.000  0.80
Rb 0.750 0.250 0.500  0.00
Rb 0.250 0.750 0.500  0.00
Pd 0.000 0.000 0.000  -0.57
Cl 0.258 0.258 0.485  -0.02
Cl 0.742 0.742 0.515  -0.02
Cl 0.256 0.256 0.000  -0.02
Cl 0.744 0.744 0.000  -0.02
Cl 0.744 0.256 0.000  -0.02
Cl 0.256 0.744 0.000  -0.02